Record 1
The following is a DFT calculation (meta-GGA SCAN) of a PBEsol-optimized structure of ZrIn2Hg.

Calculated values
As for the energy of formation: -91 kJ/mol of formula units. The electronic total energy comes out at -41.646 eV per atom.

CIF file:
```
data_ZrIn2Hg
_chemical_formula_sum 'Zr2 In4 Hg2'
_cell_length_a 4.2111
_cell_length_b 4.2111
_cell_length_c 9.6639
_cell_angle_alpha 90.00
_cell_angle_beta 90.00
_cell_angle_gamma 90.00
_symmetry_space_group_name_H-M 'I -4 m 2'
_symmetry_Int_Tables_number 119
_symmetry_space_group_name_Hall 'I -4 -2'
loop_
_atom_site_label
_atom_site_type_symbol
_atom_site_fract_x
_atom_site_fract_y
_atom_site_fract_z
Zr1 Zr 0.0000 0.0000 0.0000
In1 In 0.0000 0.0000 0.5000
In2 In 0.0000 0.5000 0.7500
Hg1 Hg 0.0000 0.5000 0.2500
```

Record 2
The following is a DFT calculation (meta-GGA SCAN) of a PBEsol-optimized structure of Tl2WBr.

Calculated values
As for the raw formation energy: 2.58 eV per formula unit. The electronic total energy comes out at -57.821 eV per atom.

CIF file:
```
data_Tl2WBr
_chemical_formula_sum 'Tl4 W2 Br2'
_cell_length_a 10.8232
_cell_length_b 3.0547
_cell_length_c 6.4143
_cell_angle_alpha 90.00
_cell_angle_beta 115.16
_cell_angle_gamma 90.00
_symmetry_space_group_name_H-M 'C 1 m 1'
_symmetry_Int_Tables_number 8
_symmetry_space_group_name_Hall 'C -2y'
loop_
_atom_site_label
_atom_site_type_symbol
_atom_site_fract_x
_atom_site_fract_y
_atom_site_fract_z
Tl1 Tl 0.0000 0.0000 0.0000
Tl2 Tl 0.1478 0.0000 0.5924
W1 W 0.2409 0.5000 0.0119
Br1 Br 0.3420 0.0000 0.3551
```

- Among the records above, which one has the lowest electronic total energy?
  Tl2WBr

- Which of these has the lowest electronic total energy?
  Tl2WBr

Please write out number 2 again, unchanged.
The following is a DFT calculation (meta-GGA SCAN) of a PBEsol-optimized structure of Tl2WBr.

Calculated values
As for the raw formation energy: 2.58 eV per formula unit. The electronic total energy comes out at -57.821 eV per atom.

CIF file:
```
data_Tl2WBr
_chemical_formula_sum 'Tl4 W2 Br2'
_cell_length_a 10.8232
_cell_length_b 3.0547
_cell_length_c 6.4143
_cell_angle_alpha 90.00
_cell_angle_beta 115.16
_cell_angle_gamma 90.00
_symmetry_space_group_name_H-M 'C 1 m 1'
_symmetry_Int_Tables_number 8
_symmetry_space_group_name_Hall 'C -2y'
loop_
_atom_site_label
_atom_site_type_symbol
_atom_site_fract_x
_atom_site_fract_y
_atom_site_fract_z
Tl1 Tl 0.0000 0.0000 0.0000
Tl2 Tl 0.1478 0.0000 0.5924
W1 W 0.2409 0.5000 0.0119
Br1 Br 0.3420 0.0000 0.3551
```